1.
Here is a relaxed structure of MgPaNiS4 from Alexandria. Energies are from GGA-PBE. Values from VASP.

Structure (Quantum ESPRESSO input):
```
&SYSTEM
  ibrav = 0, nat = 14, ntyp = 4
/
ATOMIC_SPECIES
Mg 24.30 Mg.upf
Pa 231.04 Pa.upf
Ni 58.69 Ni.upf
S 32.06 S.upf
ATOMIC_POSITIONS crystal
Mg 0.244 0.250 0.440
Mg 0.756 0.750 0.560
Pa 0.257 0.250 0.939
Pa 0.743 0.750 0.061
Ni 0.255 0.750 0.156
Ni 0.745 0.250 0.844
S 0.044 0.750 0.373
S 0.060 0.750 0.870
S 0.498 0.009 0.255
S 0.498 0.491 0.255
S 0.502 0.509 0.745
S 0.502 0.991 0.745
S 0.940 0.250 0.130
S 0.956 0.250 0.627
CELL_PARAMETERS angstrom
6.280 0.000 0.000
0.000 5.960 0.000
-1.683 0.000 7.077
```

Values from the calculation:
Total energy   -5.87 eV/atom
Space-group type   P2_1/m, No. 11
D(E_F)   3.305 states/eV/f.u.

2.
Here is a relaxed structure of MgPa2Si3Ni4 from Alexandria. Energies are from GGA-PBE. Values from VASP.

Structure (Quantum ESPRESSO input):
```
&SYSTEM
  ibrav = 0, nat = 10, ntyp = 4
/
ATOMIC_SPECIES
Mg 24.30 Mg.upf
Pa 231.04 Pa.upf
Si 28.09 Si.upf
Ni 58.69 Ni.upf
ATOMIC_POSITIONS crystal
Mg 0.000 0.000 0.000
Pa 0.000 0.500 0.737
Pa 0.500 0.000 0.263
Si 0.000 0.500 0.378
Si 0.500 0.000 0.622
Si 0.500 0.500 0.000
Ni 0.000 0.000 0.500
Ni 0.000 0.500 0.150
Ni 0.500 0.000 0.850
Ni 0.500 0.500 0.500
CELL_PARAMETERS angstrom
3.960 0.000 0.000
0.000 3.960 0.000
0.000 0.000 9.944
```

Values from the calculation:
Total energy   -6.63 eV/atom
Space-group type   P-4m2, No. 115
D(E_F)   7.873 states/eV/f.u.

3.
Here is a relaxed structure of Mg4NiPb from Alexandria. Energies are from GGA-PBE. Values from VASP.

Structure (Quantum ESPRESSO input):
```
&SYSTEM
  ibrav = 0, nat = 12, ntyp = 3
/
ATOMIC_SPECIES
Mg 24.30 Mg.upf
Ni 58.69 Ni.upf
Pb 207.20 Pb.upf
ATOMIC_POSITIONS crystal
Mg 0.131 0.628 0.380
Mg 0.210 0.790 0.000
Mg 0.335 0.335 0.836
Mg 0.372 0.869 0.620
Mg 0.628 0.131 0.380
Mg 0.665 0.665 0.164
Mg 0.790 0.210 0.000
Mg 0.869 0.372 0.620
Ni 0.500 0.500 0.278
Ni 0.500 0.500 0.722
Pb 0.192 0.192 0.194
Pb 0.808 0.808 0.806
CELL_PARAMETERS angstrom
7.372 -3.559 0.000
7.372 3.559 0.000
-1.843 0.000 4.912
```

Values from the calculation:
Energy relative to the lowest polymorph listed for this composition   0 meV per atom
Energy relative to the elements   -0.73 eV/f.u.
Space-group type   C2/m, No. 12
D(E_F)   2.428 states/eV/f.u.

4.
Here is a relaxed structure of Mg2NiPb2 from Alexandria. Energies are from GGA-PBE. Values from VASP.

Structure (Quantum ESPRESSO input):
```
&SYSTEM
  ibrav = 0, nat = 10, ntyp = 3
/
ATOMIC_SPECIES
Mg 24.30 Mg.upf
Ni 58.69 Ni.upf
Pb 207.20 Pb.upf
ATOMIC_POSITIONS crystal
Mg 0.158 0.342 0.000
Mg 0.342 0.842 0.000
Mg 0.658 0.158 0.000
Mg 0.842 0.658 0.000
Ni 0.000 0.000 0.000
Ni 0.500 0.500 0.000
Pb 0.172 0.672 0.500
Pb 0.328 0.172 0.500
Pb 0.672 0.828 0.500
Pb 0.828 0.328 0.500
CELL_PARAMETERS angstrom
6.876 0.000 0.000
0.000 6.876 0.000
0.000 0.000 4.940
```

Values from the calculation:
Energy relative to the lowest polymorph listed for this composition   40 meV per atom
Energy relative to the elements   0.91 eV/f.u.
Space-group type   P4/mbm, No. 127
D(E_F)   1.798 states/eV/f.u.

5.
Here is a relaxed structure of Mg2NiPb from Alexandria. Energies are from GGA-PBE. Values from VASP.

Structure (Quantum ESPRESSO input):
```
&SYSTEM
  ibrav = 0, nat = 4, ntyp = 3
/
ATOMIC_SPECIES
Mg 24.30 Mg.upf
Ni 58.69 Ni.upf
Pb 207.20 Pb.upf
ATOMIC_POSITIONS crystal
Mg 0.000 0.000 0.000
Mg 0.354 0.500 0.711
Ni 0.803 0.000 0.609
Pb 0.650 0.500 0.297
CELL_PARAMETERS angstrom
3.679 0.000 0.000
0.000 3.419 0.000
-1.828 0.000 6.678
```

Values from the calculation:
Energy relative to the elements   -0.02 eV/f.u.
Space-group type   Pm, No. 6
D(E_F)   1.712 states/eV/f.u.

6.
Here is a relaxed structure of Mg2NiPb from Alexandria. Energies are from GGA-PBE. Values from VASP.

Structure (Quantum ESPRESSO input):
```
&SYSTEM
  ibrav = 0, nat = 8, ntyp = 3
/
ATOMIC_SPECIES
Mg 24.30 Mg.upf
Ni 58.69 Ni.upf
Pb 207.20 Pb.upf
ATOMIC_POSITIONS crystal
Mg 0.000 0.000 0.000
Mg 0.000 0.500 0.175
Mg 0.500 0.000 0.675
Mg 0.500 0.500 0.500
Ni 0.000 0.500 0.674
Ni 0.500 0.000 0.174
Pb 0.000 0.000 0.360
Pb 0.500 0.500 0.860
CELL_PARAMETERS angstrom
3.063 0.000 0.000
0.000 4.448 0.000
0.000 0.000 12.509
```

Values from the calculation:
Energy relative to the elements   -0.08 eV/f.u.
Space-group type   Imm2, No. 44
D(E_F)   1.853 states/eV/f.u.

7.
Here is a relaxed structure of Mg2NiPb from Alexandria. Energies are from GGA-PBE. Values from VASP.

Structure (Quantum ESPRESSO input):
```
&SYSTEM
  ibrav = 0, nat = 12, ntyp = 3
/
ATOMIC_SPECIES
Mg 24.30 Mg.upf
Ni 58.69 Ni.upf
Pb 207.20 Pb.upf
ATOMIC_POSITIONS crystal
Mg 0.000 0.000 0.231
Mg 0.000 0.000 0.769
Mg 0.333 0.667 0.435
Mg 0.333 0.667 0.898
Mg 0.667 0.333 0.102
Mg 0.667 0.333 0.565
Ni 0.000 0.000 0.500
Ni 0.333 0.667 0.167
Ni 0.667 0.333 0.833
Pb 0.000 0.000 0.000
Pb 0.333 0.667 0.667
Pb 0.667 0.333 0.333
CELL_PARAMETERS angstrom
3.234 0.000 0.000
-1.617 2.800 0.000
0.000 0.000 27.939
```

Values from the calculation:
Energy relative to the elements   0.24 eV/f.u.
Space-group type   R-3m, No. 166
D(E_F)   2.236 states/eV/f.u.

8.
Here is a relaxed structure of Mg2NiPb2 from Alexandria. Energies are from GGA-PBE. Values from VASP.

Structure (Quantum ESPRESSO input):
```
&SYSTEM
  ibrav = 0, nat = 10, ntyp = 3
/
ATOMIC_SPECIES
Mg 24.30 Mg.upf
Ni 58.69 Ni.upf
Pb 207.20 Pb.upf
ATOMIC_POSITIONS crystal
Mg 0.160 0.340 0.000
Mg 0.340 0.840 0.000
Mg 0.660 0.160 0.000
Mg 0.840 0.660 0.000
Ni 0.000 0.000 0.500
Ni 0.500 0.500 0.500
Pb 0.159 0.659 0.500
Pb 0.341 0.159 0.500
Pb 0.659 0.841 0.500
Pb 0.841 0.341 0.500
CELL_PARAMETERS angstrom
7.024 0.000 0.000
0.000 7.024 0.000
0.000 0.000 4.792
```

Values from the calculation:
Energy relative to the lowest polymorph listed for this composition   0 meV per atom
Energy relative to the elements   0.70 eV/f.u.
Space-group type   P4/mbm, No. 127
D(E_F)   2.325 states/eV/f.u.